No. 1
An optimized crystal structure of TlWCl. Source: Alexandria, functional PBE-GGA.

Calculated values
Formation energy without anion corrections   37.4 kJ per mole of atoms
Space group   P3m1 (156)
E above lowest polymorph   0.000 eV/atom
Crystal system   trigonal

Cell and atoms, written as extended XYZ:
```
3
Lattice="3.086 0.000 0.000 -1.543 2.672 0.000 0.000 0.000 8.271" Properties=species:S:1:pos:R:3 pbc="T T T"
W 1.543 0.891 5.851
Cl 0.000 0.000 7.541
Tl 0.000 1.782 3.150
```


No. 2
An optimized crystal structure of Pm3NiPd3. Source: Alexandria, functional PBE-GGA.

Calculated values
Space group   Imm2 (44)
Energy relative to the elements   -0.69 eV/atom
Crystal system   orthorhombic

Cell and atoms, written as extended XYZ:
```
7
Lattice="4.317 0.000 -0.942 -0.193 3.799 -0.882 -0.165 0.217 9.609" Properties=species:S:1:pos:R:3 pbc="T T T"
Ni 1.626 1.814 7.453
Pd 3.502 1.498 5.686
Pd 2.300 2.165 0.178
Pd 0.488 2.551 2.237
Pm 2.858 0.781 2.737
Pm 3.950 4.005 7.741
Pm 1.114 3.249 5.106
```


No. 3
An optimized crystal structure of SmAl3Ga. Source: Alexandria, functional PBE-GGA.

Calculated values
Space group   Cm (8)
Energy relative to the elements   -0.36 eV/atom
E above lowest polymorph   0.000 eV/atom
Crystal system   monoclinic

Cell and atoms, written as extended XYZ:
```
5
Lattice="3.982 -0.002 1.384 -0.476 3.954 1.387 0.037 0.037 6.382" Properties=species:S:1:pos:R:3 pbc="T T T"
Al 0.398 1.812 3.414
Al 2.154 3.786 4.798
Al 2.872 2.355 2.706
Ga -0.317 3.249 5.497
Sm 1.540 0.849 6.586
```


no.,raw total energy (eV/atom),volume (A^3/atom)
1,-5.334,22.734
2,-5.776,22.551
3,-4.153,20.013